Entry from Alexandria via LeMat-Bulk: a geometry-optimized WOF4 structure (GGA-PBEsol).

Computed properties:
Mass density ... 5.1 Mg/m³
Total magnetization ... 0.00 Bohr magnetons per cell
Crystal system ... tetragonal
ΔE to the lowest computed polymorph ... 0.0 meV/atom
Formation energy from raw total energies ... -15.438 eV/f.u.

```
WOF4
1.0
-3.385 3.385 1.956
3.385 -3.385 1.956
3.385 3.385 -1.956
W O F
1 1 4
Direct
0.000 0.000 0.000
0.447 0.447 0.000
0.012 0.670 0.824
0.188 0.012 0.341
0.670 0.846 0.659
0.846 0.188 0.176
```